# 1
Pm6Sm5Ho2: optimized geometry, PBE.

The crystal system is orthorhombic.

The space group is Pbam (No. 55) and the conventional cell measures 11.763, 20.771 and 3.632 Å, with angles of 90.00, 90.00 and 90.00 degrees. The distinct sites, in fractional coordinates, are Pm at (0.062, 0.080, 0.000), Pm at (0.082, 0.368, 0.000), Pm at (0.174, 0.637, 0.500), Sm at (0.000, 0.500, 0.500), Sm at (0.088, 0.226, 0.500), Sm at (0.198, 0.945, 0.500) and Ho at (0.169, 0.789, 0.000).

# 2
MgZn2W: optimized geometry, PBE.

The crystal system is monoclinic.

The space group is Cm (No. 8) and the conventional cell measures 10.285, 2.775 and 4.927 Å, with angles of 90.00, 115.62 and 90.00 degrees. The distinct sites, in fractional coordinates, are Mg at (0.000, 0.000, 0.000), Zn at (0.254, 0.500, 0.085), Zn at (0.497, 0.000, 0.512) and W at (0.245, 0.000, 0.573).

| no. | E (eV/atom) | DOS(E_F) (states/eV/atom) |
| --- | --- | --- |
| 1 | -4.618 | 1.17 |
| 2 | -4.065 | 0.49 |